Entry 1:
## La2Zr2As (PBE-GGA)

Data for a relaxed structure of La2Zr2As.

Properties
Volume, Å³/f.u.: 134
Energy relative to the lowest polymorph listed for this composition, kJ/mol of atoms: 0.0
Calculated total energy, eV/atom: -6.612
Magnetization, μB per formula unit: 0.00
ΔH_f (0 K), meV/atom: -292.0

Cell and atoms, written as POSCAR:
```
La2Zr2As
1.0
-4.9833 -4.8730 2.0228
4.5817 -5.3766 -1.6650
1.8296 0.0935 4.7326
La Zr As
4 4 2
Direct
0.3318 0.1682 0.5000
0.6682 0.8318 0.5000
0.1682 0.6682 0.5000
0.8318 0.3318 0.5000
0.6489 0.1489 0.0000
0.1489 0.3511 0.0000
0.3511 0.8511 0.0000
0.8511 0.6489 0.0000
0.0000 0.0000 0.0000
0.5000 0.5000 0.0000
```

Entry 2:
## LaZr2As (PBE-GGA)

Data for a relaxed structure of LaZr2As.

Properties
Volume, Å³/f.u.: 93
Calculated total energy, eV/atom: -6.920
Magnetization, μB per formula unit: 0.00
ΔH_f (0 K), meV/atom: -251.7

Cell and atoms, written as POSCAR:
```
LaZr2As
1.0
5.6930 0.0169 0.0000
2.2654 5.2229 0.0000
-3.9792 -2.6199 3.1165
Zr As La
2 1 1
Direct
0.0000 0.0000 0.0000
0.5000 0.5000 0.0000
0.2500 0.7500 0.5000
0.7500 0.2500 0.5000
```

Entry 3:
## LaZr2As (PBE-GGA)

Data for a relaxed structure of LaZr2As.

Properties
Volume, Å³/f.u.: 89
Calculated total energy, eV/atom: -6.983
Magnetization, μB per formula unit: 0.00
ΔH_f (0 K), meV/atom: -314.4

Cell and atoms, written as POSCAR:
```
LaZr2As
1.0
-1.6690 -2.7941 -3.2202
-2.4403 -2.2095 3.1820
-3.2588 2.6812 -0.6374
Zr As La
2 1 1
Direct
0.0000 0.0000 0.0000
0.5000 0.5000 0.0000
0.5000 0.0000 0.5000
0.0000 0.5000 0.5000
```

Entry 4:
## LaZr2As2 (PBE-GGA)

Data for a relaxed structure of LaZr2As2.

Properties
Volume, Å³/f.u.: 123
Energy relative to the lowest polymorph listed for this composition, kJ/mol of atoms: 23.1
Calculated total energy, eV/atom: -7.021
Magnetization, μB per formula unit: 0.00
ΔH_f (0 K), meV/atom: -756.3

Cell and atoms, written as POSCAR:
```
LaZr2As2
1.0
-1.5963 2.4125 4.2227
0.5377 -4.3295 2.6769
3.8993 0.2128 4.4546
As La Zr
2 1 2
Direct
0.7500 0.2500 0.5000
0.2500 0.7500 0.5000
0.0000 0.0000 0.0000
0.3439 0.3439 0.3122
0.6561 0.6561 0.6878
```

Entry 5:
## LaZr4As (PBE-GGA)

Data for a relaxed structure of LaZr4As.

Properties
Volume, Å³/f.u.: 149
Calculated total energy, eV/atom: -7.029
Magnetization, μB per formula unit: 0.00
ΔH_f (0 K), meV/atom: 266.1

Cell and atoms, written as POSCAR:
```
LaZr4As
1.0
0.0000 4.2036 4.2036
4.2036 0.0000 4.2036
4.2036 4.2036 0.0000
La As Zr
1 1 4
Direct
0.0000 0.0000 0.0000
0.7500 0.7500 0.7500
0.8821 0.3726 0.3726
0.3726 0.8821 0.3726
0.3726 0.3726 0.3726
0.3726 0.3726 0.8821
```

Entry 6:
## La2ZrAs3 (PBE-GGA)

Data for a relaxed structure of La2ZrAs3.

Properties
Volume, Å³/f.u.: 158
Calculated total energy, eV/atom: -6.712
Magnetization, μB per formula unit: 0.00
ΔH_f (0 K), meV/atom: -1320.1

Cell and atoms, written as POSCAR:
```
La2ZrAs3
1.0
-0.9811 6.6323 6.5020
1.6572 9.0311 1.7088
-3.0156 -7.1282 -5.2271
As La Zr
3 2 1
Direct
0.5000 0.5000 0.0000
0.1570 0.1570 0.0000
0.8430 0.8430 0.0000
0.3345 0.3345 0.0000
0.6655 0.6655 0.0000
0.0000 0.0000 0.0000
```

Entry 7:
## LaZr2As (PBE-GGA)

Data for a relaxed structure of LaZr2As.

Properties
Volume, Å³/f.u.: 93
Calculated total energy, eV/atom: -6.880
Magnetization, μB per formula unit: 0.00
ΔH_f (0 K), meV/atom: -211.4

Cell and atoms, written as POSCAR:
```
LaZr2As
1.0
5.6733 0.0257 0.0000
2.1925 5.2326 0.0000
-3.9329 -2.6292 3.1316
Zr As La
2 1 1
Direct
0.2500 0.7500 0.5000
0.0000 0.0000 0.0000
0.5000 0.5000 0.0000
0.7500 0.2500 0.5000
```

Entry 8:
## La3ZrAs (PBE-GGA)

Data for a relaxed structure of La3ZrAs.

Properties
Volume, Å³/f.u.: 171
Energy relative to the lowest polymorph listed for this composition, kJ/mol of atoms: 32.2
Calculated total energy, eV/atom: -5.309
Magnetization, μB per formula unit: 0.00
ΔH_f (0 K), meV/atom: 286.7

Cell and atoms, written as POSCAR:
```
La3ZrAs
1.0
5.5549 0.0000 0.0000
0.0000 5.5549 0.0000
0.0000 0.0000 5.5549
Zr La As
1 3 1
Direct
0.0000 0.0000 0.0000
0.0000 0.5000 0.0000
0.0000 0.0000 0.5000
0.5000 0.0000 0.0000
0.5000 0.5000 0.5000
```